## a
Entry from Alexandria via LeMat-Bulk: crystalline Ta2CuNiH at its relaxed geometry (PBE).

Lattice parameters (Å, degrees): 4.019 4.019 3.810 90.00 90.00 90.00
Space group P4/mmm (No. 123)
Inequivalent atoms, fractional coordinates:
Ta  0.000  0.500  0.000 x2
Cu  0.000  0.000  0.500 x1
Ni  0.500  0.500  0.500 x1
H  0.000  0.000  0.000 x1

Summary:
* DOS at the Fermi energy: 3.80 states/eV per cell
* size of the total moment: 0.00 Bohr magnetons per cell
* calculated density: 13.1 g/cm³

## b
Entry from Alexandria via LeMat-Bulk: crystalline Ta2CuNiH at its relaxed geometry (PBE).

Lattice parameters (Å, degrees): 4.066 4.066 3.711 90.00 90.00 90.00
Space group P4/mmm (No. 123)
Inequivalent atoms, fractional coordinates:
Ta  0.000  0.500  0.000 x2
Cu  0.000  0.000  0.500 x1
Ni  0.500  0.500  0.500 x1
H  0.500  0.500  0.000 x1

Summary:
* DOS at the Fermi energy: 3.73 states/eV per cell
* size of the total moment: 0.00 Bohr magnetons per cell
* calculated density: 13.1 g/cm³

The calculated energies rank the structures as follows, beginning with the most stable: b, a.

## a
Entry from Alexandria via LeMat-Bulk: crystalline V2CuNiH at its relaxed geometry (PBE).

Lattice parameters (Å, degrees): 4.311 4.311 4.388 90.00 90.00 90.00
Space group P4/mmm (No. 123)
Inequivalent atoms, fractional coordinates:
V  0.000  0.500  0.000 x2
Cu  0.000  0.000  0.500 x1
Ni  0.000  0.000  0.000 x1
H  0.500  0.500  0.500 x1

Summary:
* DOS at the Fermi energy: 6.94 states/eV per cell
* size of the total moment: 0.00 Bohr magnetons per cell
* calculated density: 4.6 g/cm³

## b
Entry from Alexandria via LeMat-Bulk: crystalline V2CuNiH at its relaxed geometry (PBE).

Lattice parameters (Å, degrees): 3.681 3.681 3.800 90.00 90.00 90.00
Space group P4/mmm (No. 123)
Inequivalent atoms, fractional coordinates:
V  0.000  0.500  0.000 x2
Cu  0.000  0.000  0.500 x1
Ni  0.500  0.500  0.500 x1
H  0.000  0.000  0.000 x1

Summary:
* DOS at the Fermi energy: 3.44 states/eV per cell
* size of the total moment: 0.00 Bohr magnetons per cell
* calculated density: 7.3 g/cm³

The calculated energies rank the structures as follows, beginning with the most stable: b, a.

## a
Entry from Alexandria via LeMat-Bulk: crystalline Y2CuNiH at its relaxed geometry (PBE).

Lattice parameters (Å, degrees): 4.880 4.880 3.491 90.00 90.00 90.00
Space group P4/mmm (No. 123)
Inequivalent atoms, fractional coordinates:
Y  0.000  0.500  0.000 x2
Cu  0.000  0.000  0.500 x1
Ni  0.500  0.500  0.500 x1
H  0.500  0.500  0.000 x1

Summary:
* DOS at the Fermi energy: 3.72 states/eV per cell
* size of the total moment: 0.00 Bohr magnetons per cell
* calculated density: 6.0 g/cm³

## b
Entry from Alexandria via LeMat-Bulk: crystalline Y2CuNiH at its relaxed geometry (PBE).

Lattice parameters (Å, degrees): 4.859 4.859 3.524 90.00 90.00 90.00
Space group P4/mmm (No. 123)
Inequivalent atoms, fractional coordinates:
Y  0.000  0.500  0.000 x2
Cu  0.000  0.000  0.500 x1
Ni  0.500  0.500  0.500 x1
H  0.000  0.000  0.000 x1

Summary:
* DOS at the Fermi energy: 3.09 states/eV per cell
* size of the total moment: 0.00 Bohr magnetons per cell
* calculated density: 6.0 g/cm³

The calculated energies rank the structures as follows, beginning with the most stable: a, b.

## a
Entry from Alexandria via LeMat-Bulk: crystalline ZnCuNi2H at its relaxed geometry (PBE).

Lattice parameters (Å, degrees): 3.587 3.587 3.840 90.00 90.00 90.00
Space group P4/mmm (No. 123)
Inequivalent atoms, fractional coordinates:
Zn  0.000  0.000  0.000 x1
Cu  0.500  0.500  0.000 x1
Ni  0.000  0.500  0.500 x2
H  0.000  0.000  0.500 x1

Summary:
* DOS at the Fermi energy: 1.87 states/eV per cell
* size of the total moment: 0.00 Bohr magnetons per cell
* calculated density: 8.3 g/cm³

## b
Entry from Alexandria via LeMat-Bulk: crystalline ZnCuNi2H at its relaxed geometry (PBE).

Lattice parameters (Å, degrees): 3.661 3.661 3.654 90.00 90.00 90.00
Space group P4/mmm (No. 123)
Inequivalent atoms, fractional coordinates:
Zn  0.000  0.000  0.000 x1
Cu  0.500  0.500  0.000 x1
Ni  0.000  0.500  0.500 x2
H  0.500  0.500  0.500 x1

Summary:
* DOS at the Fermi energy: 0.89 states/eV per cell
* size of the total moment: 0.00 Bohr magnetons per cell
* calculated density: 8.4 g/cm³

The calculated energies rank the structures as follows, beginning with the most stable: b, a.

## a
Entry from Alexandria via LeMat-Bulk: crystalline CuH2O at its relaxed geometry (PBE).

Lattice parameters (Å, degrees): 4.670 4.670 4.670 90.00 90.00 90.00
Space group Fm-3m (No. 225)
Inequivalent atoms, fractional coordinates:
Cu  0.000  0.000  0.000 x4
H  0.250  0.250  0.250 x8
O  0.000  0.000  0.500 x4

Summary:
* DOS at the Fermi energy: 3.56 states/eV per cell
* size of the total moment: 0.00 Bohr magnetons per cell
* calculated density: 5.3 g/cm³

## b
Entry from Alexandria via LeMat-Bulk: crystalline CuH2O at its relaxed geometry (PBE).

Lattice parameters (Å, degrees): 6.087 6.087 6.087 90.00 90.00 90.00
Space group Fd-3m (No. 227, origin choice 2)
Inequivalent atoms, fractional coordinates:
Cu  0.125  0.125  0.125 x8
H  0.000  0.000  0.500 x16
O  0.125  0.125  0.625 x8

Summary:
* DOS at the Fermi energy: 0.12 states/eV per cell
* size of the total moment: 0.00 Bohr magnetons per cell
* calculated density: 4.8 g/cm³

The calculated energies rank the structures as follows, beginning with the most stable: b, a.

## a
Entry from Alexandria via LeMat-Bulk: crystalline CuPHO2 at its relaxed geometry (PBE).

Lattice parameters (Å, degrees): 3.589 3.589 4.867 90.00 90.00 90.00
Space group P4/mmm (No. 123)
Inequivalent atoms, fractional coordinates:
Cu  0.000  0.000  0.000 x1
P  0.000  0.000  0.500 x1
H  0.500  0.500  0.500 x1
O  0.000  0.500  0.000 x2

Summary:
* DOS at the Fermi energy: 2.95 states/eV per cell
* size of the total moment: 0.93 Bohr magnetons per cell
* calculated density: 3.4 g/cm³

## b
Entry from Alexandria via LeMat-Bulk: crystalline CuPHO2 at its relaxed geometry (PBE).

Lattice parameters (Å, degrees): 3.946 3.946 2.880 90.00 90.00 90.00
Space group P4/mmm (No. 123)
Inequivalent atoms, fractional coordinates:
Cu  0.000  0.000  0.000 x1
P  0.500  0.500  0.000 x1
H  0.500  0.500  0.500 x1
O  0.000  0.500  0.500 x2

Summary:
* DOS at the Fermi energy: 4.05 states/eV per cell
* size of the total moment: 0.24 Bohr magnetons per cell
* calculated density: 4.7 g/cm³

The calculated energies rank the structures as follows, beginning with the most stable: b, a.

## a
Entry from Alexandria via LeMat-Bulk: crystalline Sr2CuH2Se4O12 at its relaxed geometry (PBE).

Lattice parameters (Å, degrees): 5.494 7.776 9.135 109.40 105.56 93.33
Space group P-1 (No. 2)
Inequivalent atoms, fractional coordinates:
Sr  0.160  0.280  0.058 x2
Cu  0.500  0.500  0.500 x1
H  0.125  0.244  0.397 x2
Se  0.201  0.349  0.709 x2
Se  0.432  0.995  0.276 x2
O  0.112  0.477  0.870 x2
O  0.244  0.291  0.352 x2
O  0.245  0.898  0.353 x2
O  0.253  0.965  0.083 x2
O  0.381  0.220  0.816 x2
O  0.439  0.506  0.708 x2

Summary:
* size of the total moment: 1.00 Bohr magnetons per cell
* calculated density: 3.6 g/cm³

## b
Entry from Alexandria via LeMat-Bulk: crystalline Sr2CuH2Se4O12 at its relaxed geometry (PBE).

Lattice parameters (Å, degrees): 5.368 7.123 9.209 112.32 96.13 100.69
Space group P-1 (No. 2)
Inequivalent atoms, fractional coordinates:
Sr  0.170  0.249  0.441 x2
Cu  0.000  0.000  0.000 x1
H  0.365  0.162  0.757 x2
Se  0.200  0.676  0.224 x2
Se  0.396  0.782  0.815 x2
O  0.128  0.449  0.246 x2
O  0.129  0.856  0.388 x2
O  0.204  0.963  0.827 x2
O  0.303  0.047  0.160 x2
O  0.342  0.651  0.612 x2
O  0.442  0.270  0.719 x2

Summary:
* DOS at the Fermi energy: 0.09 states/eV per cell
* size of the total moment: 1.01 Bohr magnetons per cell
* calculated density: 4.0 g/cm³

The calculated energies rank the structures as follows, beginning with the most stable: b, a.

## a
Entry from Alexandria via LeMat-Bulk: crystalline CuHOs3 at its relaxed geometry (PBE).

Lattice parameters (Å, degrees): 4.471 4.471 4.471 90.00 90.00 90.00
Space group Pm-3m (No. 221)
Inequivalent atoms, fractional coordinates:
Cu  0.000  0.000  0.000 x1
H  0.500  0.500  0.500 x1
Os  0.000  0.000  0.500 x3

Summary:
* DOS at the Fermi energy: 8.72 states/eV per cell
* size of the total moment: 3.58 Bohr magnetons per cell
* calculated density: 11.8 g/cm³

## b
Entry from Alexandria via LeMat-Bulk: crystalline CuHOs3 at its relaxed geometry (PBE).

Lattice parameters (Å, degrees): 3.887 3.887 3.887 90.00 90.00 90.00
Space group Pm-3m (No. 221)
Inequivalent atoms, fractional coordinates:
Cu  0.000  0.000  0.000 x1
H  0.500  0.500  0.500 x1
Os  0.000  0.500  0.500 x3

Summary:
* DOS at the Fermi energy: 6.46 states/eV per cell
* size of the total moment: 0.00 Bohr magnetons per cell
* calculated density: 18.0 g/cm³

The calculated energies rank the structures as follows, beginning with the most stable: b, a.

## a
Entry from Alexandria via LeMat-Bulk: crystalline Cu3HOs at its relaxed geometry (PBE).

Lattice parameters (Å, degrees): 4.722 4.722 4.722 90.00 90.00 90.00
Space group Pm-3m (No. 221)
Inequivalent atoms, fractional coordinates:
Cu  0.000  0.000  0.500 x3
H  0.500  0.500  0.500 x1
Os  0.000  0.000  0.000 x1

Summary:
* DOS at the Fermi energy: 4.55 states/eV per cell
* size of the total moment: 2.26 Bohr magnetons per cell
* calculated density: 6.0 g/cm³

## b
Entry from Alexandria via LeMat-Bulk: crystalline Cu3HOs at its relaxed geometry (PBE).

Lattice parameters (Å, degrees): 3.747 3.747 3.747 90.00 90.00 90.00
Space group Pm-3m (No. 221)
Inequivalent atoms, fractional coordinates:
Cu  0.000  0.000  0.500 x3
H  0.000  0.000  0.000 x1
Os  0.500  0.500  0.500 x1

Summary:
* DOS at the Fermi energy: 2.52 states/eV per cell
* size of the total moment: 0.00 Bohr magnetons per cell
* calculated density: 12.1 g/cm³

The calculated energies rank the structures as follows, beginning with the most stable: b, a.

## a
Entry from Alexandria via LeMat-Bulk: crystalline CuPH3 at its relaxed geometry (PBE).

Lattice parameters (Å, degrees): 4.683 4.691 6.132 83.67 83.11 75.23
Space group P1 (No. 1)
Inequivalent atoms, fractional coordinates:
Cu  0.000  0.000  0.000 x1
Cu  0.222  0.451  0.007 x1
P  0.589  0.216  0.216 x1
P  0.885  0.678  0.755 x1
H  0.117  0.651  0.578 x1
H  0.222  0.721  0.135 x1
H  0.260  0.166  0.880 x1
H  0.469  0.016  0.369 x1
H  0.627  0.401  0.374 x1
H  0.848  0.005  0.742 x1

Summary:
* size of the total moment: 0.00 Bohr magnetons per cell
* calculated density: 2.5 g/cm³

## b
Entry from Alexandria via LeMat-Bulk: crystalline CuPH3 at its relaxed geometry (PBE).

Lattice parameters (Å, degrees): 3.489 3.489 3.489 90.00 90.00 90.00
Space group Pm-3m (No. 221)
Inequivalent atoms, fractional coordinates:
Cu  0.000  0.000  0.000 x1
P  0.500  0.500  0.500 x1
H  0.000  0.500  0.500 x3

Summary:
* DOS at the Fermi energy: 1.77 states/eV per cell
* size of the total moment: 0.00 Bohr magnetons per cell
* calculated density: 3.8 g/cm³

The calculated energies rank the structures as follows, beginning with the most stable: a, b.

## a
Entry from Alexandria via LeMat-Bulk: crystalline Cu2PH at its relaxed geometry (PBE).

Lattice parameters (Å, degrees): 5.571 5.571 5.571 90.00 90.00 90.00
Space group Fm-3m (No. 225)
Inequivalent atoms, fractional coordinates:
Cu  0.250  0.250  0.250 x8
P  0.000  0.000  0.000 x4
H  0.000  0.000  0.500 x4

Summary:
* DOS at the Fermi energy: 7.96 states/eV per cell
* size of the total moment: 0.00 Bohr magnetons per cell
* calculated density: 6.1 g/cm³

## b
Entry from Alexandria via LeMat-Bulk: crystalline Cu2PH at its relaxed geometry (PBE).

Lattice parameters (Å, degrees): 4.446 4.446 9.684 90.00 90.00 90.00
Space group I-42d (No. 122)
Inequivalent atoms, fractional coordinates:
Cu  0.142  0.250  0.125 x8
P  0.000  0.000  0.500 x4
H  0.000  0.000  0.000 x4

Summary:
* DOS at the Fermi energy: 4.96 states/eV per cell
* size of the total moment: 0.00 Bohr magnetons per cell
* calculated density: 5.5 g/cm³

The calculated energies rank the structures as follows, beginning with the most stable: b, a.

## a
Entry from Alexandria via LeMat-Bulk: crystalline Cu2P2H at its relaxed geometry (PBE).

Lattice parameters (Å, degrees): 7.307 7.307 2.483 90.00 90.00 90.00
Space group P4/mbm (No. 127)
Inequivalent atoms, fractional coordinates:
Cu  0.154  0.346  0.000 x4
P  0.146  0.646  0.500 x4
H  0.000  0.000  0.000 x2

Summary:
* DOS at the Fermi energy: 4.38 states/eV per cell
* size of the total moment: 0.92 Bohr magnetons per cell
* calculated density: 4.8 g/cm³

## b
Entry from Alexandria via LeMat-Bulk: crystalline Cu2P2H at its relaxed geometry (PBE).

Lattice parameters (Å, degrees): 3.322 3.322 12.254 90.00 90.00 90.00
Space group I4/mmm (No. 139)
Inequivalent atoms, fractional coordinates:
Cu  0.000  0.000  0.097 x4
P  0.000  0.500  0.250 x4
H  0.000  0.000  0.500 x2

Summary:
* DOS at the Fermi energy: 2.98 states/eV per cell
* size of the total moment: 0.00 Bohr magnetons per cell
* calculated density: 4.7 g/cm³

The calculated energies rank the structures as follows, beginning with the most stable: a, b.